Material: Nb5C6
Method: DFT, PBE
State: optimized geometry

Properties
calculated volume	118.3	Å³ per cell
electronic total energy	-102.7	eV/cell

a b c (Å): 10.8350 10.8350 2.9773
angles (deg): 90.00 90.00 160.21
With the nearest neighbours (Å) after each atom.
Sites, in units of the cell vectors:
Nb1 0.0000 0.0000 0.0000  12 C 2.48-2.56
Nb2 0.2017 0.7983 0.5000  7 C 2.22-2.39
Nb3 0.3920 0.6080 0.0000  7 C 2.20-2.39
Nb4 0.6080 0.3920 0.0000  7 C 2.20-2.39
Nb5 0.7983 0.2017 0.5000  7 C 2.22-2.39
C1 0.0976 0.9024 0.5000  5 Nb 2.22-2.39, 2 C 2.33
C2 0.2878 0.7122 0.0000  7 Nb 2.23-2.39, 2 C 2.46
C3 0.4678 0.5322 0.5000  1 C 1.37
C4 0.5322 0.4678 0.5000  1 C 1.37
C5 0.7122 0.2878 0.0000  7 Nb 2.23-2.39, 2 C 2.46
C6 0.9024 0.0976 0.5000  5 Nb 2.22-2.39, 2 C 2.33



Material: CsAgBrCl
Method: DFT, PBE
State: optimized geometry

Properties
calculated volume	276.0	Å³ per cell
electronic total energy	-23.6	eV/cell

a b c (Å): 5.1816 5.1816 10.2807
angles (deg): 90.00 90.00 90.00
With the nearest neighbours (Å) after each atom.
Sites, in units of the cell vectors:
Cs1 0.2500 0.2500 0.2089  5 Br 3.66-3.72, 4 Cl 3.96, 1 Ag 3.97
Cs2 0.7500 0.7500 0.7911  5 Br 3.66-3.72, 4 Cl 3.96, 1 Ag 3.97
Ag1 0.2500 0.2500 0.5946  1 Br 2.66, 4 Cl 2.77
Ag2 0.7500 0.7500 0.4054  1 Br 2.66, 4 Cl 2.77
Br1 0.2500 0.2500 0.8533  1 Ag 2.66
Br2 0.7500 0.7500 0.1467  1 Ag 2.66
Cl1 0.2500 0.7500 0.5000  4 Ag 2.77
Cl2 0.7500 0.2500 0.5000  4 Ag 2.77



What did the second record say?
Material: CsAgBrCl
Method: DFT, PBE
State: optimized geometry

Properties
calculated volume	276.0	Å³ per cell
electronic total energy	-23.6	eV/cell

a b c (Å): 5.1816 5.1816 10.2807
angles (deg): 90.00 90.00 90.00
With the nearest neighbours (Å) after each atom.
Sites, in units of the cell vectors:
Cs1 0.2500 0.2500 0.2089  5 Br 3.66-3.72, 4 Cl 3.96, 1 Ag 3.97
Cs2 0.7500 0.7500 0.7911  5 Br 3.66-3.72, 4 Cl 3.96, 1 Ag 3.97
Ag1 0.2500 0.2500 0.5946  1 Br 2.66, 4 Cl 2.77
Ag2 0.7500 0.7500 0.4054  1 Br 2.66, 4 Cl 2.77
Br1 0.2500 0.2500 0.8533  1 Ag 2.66
Br2 0.7500 0.7500 0.1467  1 Ag 2.66
Cl1 0.2500 0.7500 0.5000  4 Ag 2.77
Cl2 0.7500 0.2500 0.5000  4 Ag 2.77



Repeat the second record exactly.
Material: CsAgBrCl
Method: DFT, PBE
State: optimized geometry

Properties
calculated volume	276.0	Å³ per cell
electronic total energy	-23.6	eV/cell

a b c (Å): 5.1816 5.1816 10.2807
angles (deg): 90.00 90.00 90.00
With the nearest neighbours (Å) after each atom.
Sites, in units of the cell vectors:
Cs1 0.2500 0.2500 0.2089  5 Br 3.66-3.72, 4 Cl 3.96, 1 Ag 3.97
Cs2 0.7500 0.7500 0.7911  5 Br 3.66-3.72, 4 Cl 3.96, 1 Ag 3.97
Ag1 0.2500 0.2500 0.5946  1 Br 2.66, 4 Cl 2.77
Ag2 0.7500 0.7500 0.4054  1 Br 2.66, 4 Cl 2.77
Br1 0.2500 0.2500 0.8533  1 Ag 2.66
Br2 0.7500 0.7500 0.1467  1 Ag 2.66
Cl1 0.2500 0.7500 0.5000  4 Ag 2.77
Cl2 0.7500 0.2500 0.5000  4 Ag 2.77